P.
# CaY2Zr

A geometry-optimized CaY2Zr structure (GGA-PBEsol, the Alexandria database). Values from VASP.

Values from the calculation:
Volume = 116.24 Å³/cell
D(E_F) = 1.343 states/eV/atom
ρ = 4.42 Mg/m³

```
&SYSTEM
  ibrav = 0, nat = 4, ntyp = 3
/
ATOMIC_SPECIES
Y 88.91 Y.upf
Zr 91.22 Zr.upf
Ca 40.08 Ca.upf
CELL_PARAMETERS angstrom
-2.103 -0.006 -2.656
-2.184 -3.753 3.899
-2.656 5.230 2.092
ATOMIC_POSITIONS crystal
Y 0.759 0.517 0.773
Zr 0.500 0.000 0.000
Y 0.241 0.483 0.227
Ca 0.000 0.000 0.500
```


Q.
# CaY2Zr

A geometry-optimized CaY2Zr structure (GGA-PBEsol, the Alexandria database). Values from VASP.

Values from the calculation:
Volume = 118.56 Å³/cell
D(E_F) = 1.454 states/eV/atom
ρ = 4.33 Mg/m³

```
&SYSTEM
  ibrav = 0, nat = 4, ntyp = 3
/
ATOMIC_SPECIES
Y 88.91 Y.upf
Zr 91.22 Zr.upf
Ca 40.08 Ca.upf
CELL_PARAMETERS angstrom
-2.544 0.399 -2.288
-2.996 -1.638 0.452
-5.854 8.576 5.411
ATOMIC_POSITIONS crystal
Y 0.759 0.759 0.724
Y 0.241 0.241 0.276
Zr 0.500 0.500 0.500
Ca 0.000 0.000 0.000
```


R.
# CaY2Zr

A geometry-optimized CaY2Zr structure (GGA-PBEsol, the Alexandria database). Values from VASP.

Values from the calculation:
Volume = 116.19 Å³/cell
D(E_F) = 1.253 states/eV/atom
ρ = 4.42 Mg/m³

```
&SYSTEM
  ibrav = 0, nat = 4, ntyp = 3
/
ATOMIC_SPECIES
Zr 91.22 Zr.upf
Y 88.91 Y.upf
Ca 40.08 Ca.upf
CELL_PARAMETERS angstrom
3.396 0.000 0.000
-1.698 5.687 0.010
0.000 -0.996 6.015
ATOMIC_POSITIONS crystal
Zr 0.496 0.992 0.471
Y 0.003 0.006 0.011
Ca 0.245 0.490 0.746
Y 0.757 0.513 0.272
```


S.
# CaY2Zr

A geometry-optimized CaY2Zr structure (GGA-PBEsol, the Alexandria database). Values from VASP.

Values from the calculation:
Volume = 117.94 Å³/cell
D(E_F) = 1.430 states/eV/atom
ρ = 4.35 Mg/m³

```
&SYSTEM
  ibrav = 0, nat = 4, ntyp = 3
/
ATOMIC_SPECIES
Ca 40.08 Ca.upf
Y 88.91 Y.upf
Zr 91.22 Zr.upf
CELL_PARAMETERS angstrom
-3.038 0.326 1.623
-2.158 -1.441 -3.749
0.532 -7.060 2.408
ATOMIC_POSITIONS crystal
Ca 0.500 0.500 0.500
Y 0.000 0.000 0.784
Y 0.000 0.000 0.216
Zr 0.500 0.500 0.000
```


Energy ordering: Q at the bottom, the next structure 17 meV per atom above.


P.
# CaY2Zr

A geometry-optimized CaY2Zr structure (GGA-PBEsol, the Alexandria database). Values from VASP.

Values from the calculation:
Volume = 117.52 Å³/cell
D(E_F) = 1.484 states/eV/atom
ρ = 4.37 Mg/m³

```
&SYSTEM
  ibrav = 0, nat = 4, ntyp = 3
/
ATOMIC_SPECIES
Ca 40.08 Ca.upf
Y 88.91 Y.upf
Zr 91.22 Zr.upf
CELL_PARAMETERS angstrom
3.384 0.000 0.000
0.000 3.384 0.000
0.000 0.000 10.265
ATOMIC_POSITIONS crystal
Ca 0.500 0.500 0.734
Y 0.000 0.000 0.013
Y 0.500 0.500 0.271
Zr 0.000 0.000 0.482
```


Q.
# CaY2Zr

A geometry-optimized CaY2Zr structure (GGA-PBEsol, the Alexandria database). Values from VASP.

Values from the calculation:
Volume = 114.61 Å³/cell
D(E_F) = 1.640 states/eV/atom
ρ = 4.48 Mg/m³

```
&SYSTEM
  ibrav = 0, nat = 4, ntyp = 3
/
ATOMIC_SPECIES
Zr 91.22 Zr.upf
Y 88.91 Y.upf
Ca 40.08 Ca.upf
CELL_PARAMETERS angstrom
4.719 0.000 0.000
0.000 4.928 0.000
0.000 0.000 4.928
ATOMIC_POSITIONS crystal
Zr 0.500 0.500 0.500
Y 0.000 0.000 0.500
Y 0.000 0.500 0.000
Ca 0.500 0.000 0.000
```


Energy ordering: P at the bottom, the next structure 73 meV per atom above.